1.
Computed, not measured: an optimized crystal structure of Tm4CdS7 at the PBE level of DFT.

Cell lengths 12.5701, 3.7792, 11.5281 Å; angles 90.00, 105.43, 90.00 degrees
Last column: nearest neighbours and their distance in Å.
Space group Cm (No. 8)
Symmetry-distinct sites (fractional):
Tm: 0.0000 0.0000 0.0000 x2  7 S 2.70-2.96
Tm: 0.0922 0.5000 0.3852 x2  6 S 2.65-2.72
Tm: 0.1945 0.5000 0.8129 x2  6 S 2.64-2.71
Tm: 0.3869 0.0000 0.6012 x2  6 S 2.66-2.91
Cd: 0.3185 0.5000 0.2284 x2  6 S 2.63-2.80
S: 0.0354 0.0000 0.7566 x2  5 Tm 2.70-2.96
S: 0.1584 0.5000 0.0281 x2  1 Cd 2.63, 3 Tm 2.64-2.70
S: 0.2254 0.0000 0.3439 x2  2 Tm 2.65, 2 Cd 2.75
S: 0.2383 0.5000 0.6007 x2  4 Tm 2.65-2.67
S: 0.3544 0.0000 0.8596 x2  4 Tm 2.71-2.82
S: 0.4511 0.0000 0.1620 x2  3 Tm 2.71-2.84, 2 Cd 2.76
S: 0.4674 0.5000 0.4575 x2  4 Tm 2.72-2.87, 1 Cd 2.80

Properties
- raw formation energy (eV per atom) = -1.785

=====

2.
Computed, not measured: an optimized crystal structure of HgPH3 at the PBE level of DFT.

Cell lengths 3.7367, 3.7367, 3.7367 Å; angles 90.00, 90.00, 90.00 degrees
Last column: nearest neighbours and their distance in Å.
Space group Pm-3m (No. 221)
Symmetry-distinct sites (fractional):
Hg: 0.0000 0.0000 0.0000 x1  12 H 2.64
P: 0.5000 0.5000 0.5000 x1  6 H 1.87
H: 0.0000 0.5000 0.5000 x3  2 P 1.87

Properties
- energy above the lowest structure with this stoichiometry (kJ per mole of atoms) = 55.1
- density of states at the Fermi level (states/eV/atom) = 0.2232

=====

3.
Computed, not measured: an optimized crystal structure of Sr2PmAg3 at the PBE level of DFT.

Cell lengths 5.4397, 16.4060, 7.7482 Å; angles 90.00, 90.00, 90.00 degrees
Last column: nearest neighbours and their distance in Å.
Space group Cmmm (No. 65)
Symmetry-distinct sites (fractional):
Sr: 0.0000 0.0000 0.0000 x2  8 Ag 3.41-3.60
Sr: 0.0000 0.0000 0.5000 x2  8 Ag 3.27-3.33
Sr: 0.0000 0.3331 0.0000 x4  8 Ag 3.40-3.49
Pm: 0.0000 0.3338 0.5000 x4  8 Ag 3.12-3.28
Ag: 0.0000 0.1744 0.2814 x8  3 Pm 3.12-3.21, 4 Sr 3.33-3.49, 1 Ag 3.39
Ag: 0.0000 0.5000 0.2651 x4  6 Sr 3.27-3.42, 2 Pm 3.28, 1 Ag 3.64

Properties
- calculated formation energy (eV per atom) = -0.261
- density of states at the Fermi level (states/eV/atom) = 0.8678

=====

4.
Computed, not measured: an optimized crystal structure of Ni5PdPt6 at the PBE level of DFT.

Cell lengths 3.8519, 11.5712, 7.4505 Å; angles 90.00, 90.00, 90.00 degrees
Last column: nearest neighbours and their distance in Å.
Space group Cmmm (No. 65)
Symmetry-distinct sites (fractional):
Ni: 0.0000 0.0000 0.0000 x2  8 Pt 2.62-2.66, 4 Ni 2.73
Ni: 0.0000 0.3301 0.5000 x4  8 Pt 2.67-2.77, 2 Ni 2.67, 2 Pd 2.75
Ni: 0.0000 0.3327 0.0000 x4  8 Pt 2.63-2.65, 4 Ni 2.71-2.73
Pd: 0.0000 0.0000 0.5000 x2  8 Pt 2.73-2.74, 4 Ni 2.75
Pt: 0.0000 0.1684 0.2438 x8  7 Ni 2.63-2.71, 4 Pt 2.70-2.74, 1 Pd 2.73
Pt: 0.0000 0.5000 0.2381 x4  6 Ni 2.62-2.77, 4 Pt 2.74, 2 Pd 2.74

Properties
- calculated formation energy (eV per atom) = -0.082
- density of states at the Fermi level (states/eV/atom) = 1.6268

=====

5.
Computed, not measured: an optimized crystal structure of NiRu2Pt at the PBE level of DFT.

Cell lengths 2.7060, 2.7060, 7.4731 Å; angles 90.00, 90.00, 90.00 degrees
Last column: nearest neighbours and their distance in Å.
Space group P4mm (No. 99)
Symmetry-distinct sites (fractional):
Ni: 0.0000 0.0000 0.0000 x1  4 Ru 2.61, 4 Pt 2.66, 4 Ni 2.71
Ru: 0.0000 0.0000 0.5186 x1  8 Ru 2.64-2.71, 4 Pt 2.78
Ru: 0.5000 0.5000 0.7615 x1  4 Ni 2.61, 8 Ru 2.64-2.71
Pt: 0.5000 0.5000 0.2480 x1  4 Ni 2.66, 4 Pt 2.71, 4 Ru 2.78

Properties
- calculated formation energy (eV per atom) = 0.018
- energy above the lowest structure with this stoichiometry (kJ per mole of atoms) = 1.5
- density of states at the Fermi level (states/eV/atom) = 1.3434

=====

6.
Computed, not measured: an optimized crystal structure of CdGePd4 at the PBE level of DFT.

Cell lengths 5.8700, 14.7779, 5.4741 Å; angles 90.00, 122.28, 90.00 degrees
Last column: nearest neighbours and their distance in Å.
Space group C2/c (No. 15)
Symmetry-distinct sites (fractional):
Cd: 0.0000 0.1247 0.2500 x4  8 Pd 2.72-2.79, 2 Ge 2.94
Ge: 0.0000 0.3749 0.7500 x4  8 Pd 2.63-2.72, 2 Cd 2.94
Pd: 0.2399 0.4698 0.2300 x8  2 Ge 2.63-2.72, 2 Cd 2.72-2.78, 5 Pd 2.74-2.94
Pd: 0.2414 0.2795 0.2317 x8  2 Ge 2.64-2.71, 2 Cd 2.72-2.79, 6 Pd 2.73-2.95

Properties
- calculated formation energy (eV per atom) = -0.257
- energy above the lowest structure with this stoichiometry (kJ per mole of atoms) = 13.2
- density of states at the Fermi level (states/eV/atom) = 0.5634

=====

7.
Computed, not measured: an optimized crystal structure of LaCl at the PBE level of DFT.

Cell lengths 4.0688, 6.6903, 10.2596 Å; angles 90.00, 90.00, 90.00 degrees
Last column: nearest neighbours and their distance in Å.
Space group Cmme (No. 67)
Symmetry-distinct sites (fractional):
La: 0.0000 0.2500 0.1326 x4  2 Cl 2.80
Cl: 0.0000 0.2500 0.6801 x4  2 La 2.80

Properties
- density of states at the Fermi level (states/eV/atom) = 0.3605
- raw formation energy (eV per atom) = -1.382

=====

8.
Computed, not measured: an optimized crystal structure of Tb3NdDy6 at the PBE level of DFT.

Cell lengths 11.0493, 18.9791, 6.1992 Å; angles 90.00, 90.00, 90.00 degrees
Last column: nearest neighbours and their distance in Å.
Space group Cmc2_1 (No. 36)
Symmetry-distinct sites (fractional):
Tb: 0.0000 0.1101 0.0000 x4  5 Dy 3.35-3.61, 1 Nd 3.53, 2 Tb 3.68
Tb: 0.1727 0.3903 0.6107 x8  1 Nd 3.28, 6 Dy 3.29-3.60
Nd: 0.0000 0.2946 0.9251 x4  7 Dy 3.27-3.47, 3 Tb 3.28-3.53
Dy: 0.0000 0.2175 0.4297 x4  4 Dy 3.23-3.40, 1 Tb 3.35, 2 Nd 3.40-3.45
Dy: 0.0000 0.4544 0.1580 x4  1 Nd 3.36, 4 Tb 3.52-3.60, 2 Dy 3.55
Dy: 0.1648 0.0464 0.5364 x8  6 Dy 3.41-3.78, 4 Tb 3.41-3.61
Dy: 0.2488 0.2105 0.7026 x8  5 Dy 3.23-3.44, 2 Nd 3.27-3.47, 2 Tb 3.29-3.56

Properties
- calculated formation energy (eV per atom) = 0.149
- energy above the lowest structure with this stoichiometry (kJ per mole of atoms) = 0.0
- density of states at the Fermi level (states/eV/atom) = 1.4240

=====

9.
Computed, not measured: an optimized crystal structure of SrOs4 at the PBE level of DFT.

Cell lengths 4.2770, 4.2770, 10.4923 Å; angles 90.00, 90.00, 90.00 degrees
Last column: nearest neighbours and their distance in Å.
Space group I4/mmm (No. 139)
Symmetry-distinct sites (fractional):
Sr: 0.0000 0.0000 0.0000 x2  16 Os 3.26-3.38
Os: 0.0000 0.0000 0.3838 x4  5 Os 2.44-2.56
Os: 0.0000 0.5000 0.2500 x4  4 Os 2.56

Properties
- calculated formation energy (eV per atom) = 0.405
- energy above the lowest structure with this stoichiometry (kJ per mole of atoms) = 0.0
- density of states at the Fermi level (states/eV/atom) = 0.7126

=====

10.
Computed, not measured: an optimized crystal structure of KGa2Tc at the PBE level of DFT.

Cell lengths 6.7650, 6.7650, 6.7650 Å; angles 90.00, 90.00, 90.00 degrees
Last column: nearest neighbours and their distance in Å.
Space group Fm-3m (No. 225)
Symmetry-distinct sites (fractional):
K: 0.0000 0.0000 0.0000 x4  8 Ga 2.93
Ga: 0.2500 0.2500 0.2500 x8  4 K 2.93, 4 Tc 2.93
Tc: 0.0000 0.0000 0.5000 x4  8 Ga 2.93

Properties
- calculated formation energy (eV per atom) = 0.693
- energy above the lowest structure with this stoichiometry (kJ per mole of atoms) = 23.4
- density of states at the Fermi level (states/eV/atom) = 0.8785

=====

11.
Computed, not measured: an optimized crystal structure of TlSn at the PBE level of DFT.

Cell lengths 6.7791, 6.7791, 6.7791 Å; angles 90.00, 90.00, 90.00 degrees
Last column: nearest neighbours and their distance in Å.
Space group F-43m (No. 216)
Symmetry-distinct sites (fractional):
Tl: 0.0000 0.0000 0.0000 x4  4 Sn 2.94
Sn: 0.2500 0.2500 0.2500 x4  4 Tl 2.94

Properties
- calculated formation energy (eV per atom) = 0.332
- density of states at the Fermi level (states/eV/atom) = 0.9768

=====

12.
Computed, not measured: an optimized crystal structure of MnNi2As at the PBE level of DFT.

Cell lengths 2.9394, 3.4668, 5.0597 Å; angles 90.00, 90.00, 90.00 degrees
Last column: nearest neighbours and their distance in Å.
Space group Pmm2 (No. 25)
Symmetry-distinct sites (fractional):
Mn: 0.0000 0.0000 0.0000 x1  6 Ni 2.47-2.59, 4 As 2.73
Ni: 0.0000 0.0000 0.4884 x1  2 Mn 2.47-2.59, 4 As 2.51, 4 Ni 2.65
Ni: 0.5000 0.5000 0.2196 x1  2 As 2.44-2.62, 4 Mn 2.53, 4 Ni 2.65
As: 0.5000 0.5000 0.7011 x1  6 Ni 2.44-2.62

Properties
- calculated formation energy (eV per atom) = -0.044
- density of states at the Fermi level (states/eV/atom) = 0.5176